Entry 1:
{"formula": "Ce5Al3Tl3", "functional": "PBE", "state": "relaxed", "lattice": [[10.185, 0.000, 0.000], [-5.092, 8.820, 0.000], [0.000, 0.000, 3.247]], "species": ["Ce", "Ce", "Ce", "Ce", "Ce", "Al", "Al", "Al", "Tl", "Tl", "Tl"], "fractional_positions": [[0.000, 0.653, 0.000], [0.333, 0.667, 0.000], [0.347, 0.347, 0.000], [0.653, 0.000, 0.000], [0.667, 0.333, 0.000], [0.000, 0.146, 0.000], [0.146, 0.000, 0.000], [0.854, 0.854, 0.000], [0.000, 0.373, 0.500], [0.373, 0.000, 0.500], [0.627, 0.627, 0.500]], "e_form_ev_per_atom": 0.132, "m_tot_mub_per_atom": 0.5006, "dos_ef_per_ev_fu": 30.449}

Entry 2:
{"formula": "BeNO2F", "functional": "PBE", "state": "relaxed", "lattice": [[3.584, 0.000, 0.000], [0.000, 3.584, 0.000], [0.000, 0.000, 3.126]], "species": ["Be", "N", "O", "O", "F"], "fractional_positions": [[0.000, 0.000, 0.000], [0.500, 0.500, 0.500], [0.000, 0.500, 0.000], [0.500, 0.000, 0.000], [0.000, 0.000, 0.500]], "m_tot_mub_per_atom": 0.0000, "raw_formation_energy_ev_per_atom": 0.4588, "dos_ef_per_ev_fu": 2.565}

Entry 3:
{"formula": "BeTlZnIrBr", "functional": "PBE", "state": "relaxed", "lattice": [[3.129, 0.000, 0.000], [0.000, 4.197, 0.000], [0.000, 0.000, 17.071]], "species": ["Be", "Be", "Tl", "Tl", "Zn", "Zn", "Ir", "Ir", "Br", "Br"], "fractional_positions": [[0.000, 0.000, 0.000], [0.500, 0.500, 0.500], [0.000, 0.000, 0.245], [0.500, 0.500, 0.745], [0.000, 0.500, 0.087], [0.500, 0.000, 0.587], [0.000, 0.500, 0.595], [0.500, 0.000, 0.095], [0.000, 0.000, 0.878], [0.500, 0.500, 0.378]], "m_tot_mub_per_atom": 0.0000, "raw_formation_energy_ev_per_atom": -0.1440, "dos_ef_per_ev_fu": 1.354, "polymorph_energy_ev_per_atom": 0.0241}

Entry 4:
{"formula": "Ac3ZnCd2", "functional": "PBE", "state": "relaxed", "lattice": [[4.005, 0.000, 0.000], [0.000, 4.005, 0.000], [0.000, 0.000, 12.158]], "species": ["Ac", "Ac", "Ac", "Zn", "Cd", "Cd"], "fractional_positions": [[0.000, 0.000, 0.000], [0.000, 0.000, 0.346], [0.000, 0.000, 0.654], [0.500, 0.500, 0.500], [0.500, 0.500, 0.173], [0.500, 0.500, 0.827]], "e_form_ev_per_atom": -0.277, "m_tot_mub_per_atom": 0.0008, "dos_ef_per_ev_fu": 7.334, "polymorph_energy_ev_per_atom": 0.0000}

- What is the formula in the second record?
  BeNO2F

- Which formula does entry 4 have?
  Ac3ZnCd2